A.
Density functional theory data (GGA-PBE) for crystalline TaInBi3 at its relaxed geometry.

a b c (Å): 5.555 5.555 5.555
angles (deg): 90.00 90.00 90.00
Fractional positions:
Ta 0.000 0.000 0.000
In 0.500 0.500 0.500
Bi 0.000 0.000 0.500
Bi 0.000 0.500 0.000
Bi 0.500 0.000 0.000

Summary:
As for the symmetry: No. 221.

B.
Density functional theory data (GGA-PBE) for crystalline TaInBi3 at its relaxed geometry.

a b c (Å): 5.576 5.576 5.576
angles (deg): 90.00 90.00 90.00
Fractional positions:
Ta 0.000 0.000 0.000
In 0.500 0.500 0.500
Bi 0.000 0.500 0.500
Bi 0.500 0.000 0.500
Bi 0.500 0.500 0.000

Summary:
As for the symmetry: No. 221.

Most stable to least stable, the ends of the list are A and B.